# 1
Computed, not measured: a PBEsol-optimized structure of LiEuTiO4 at the SCAN level of DFT.

Unit cell a=5.2505 b=5.3071 c=11.7050 alpha=90.00 beta=90.00 gamma=90.00
Site moments in Bohr magnetons follow the coordinates.
Atoms (fractional coordinates):
Ti 0.7500 0.9937 0.7120  0.02
Ti 0.2500 0.0063 0.2880  0.02
Ti 0.2500 0.5063 0.7120  0.02
Ti 0.7500 0.4937 0.2880  0.02
O 0.2500 0.4566 0.9254  -0.21
O 0.5000 0.7500 0.2586  -0.07
O 0.7500 0.9825 0.5600  -0.01
O 0.5000 0.2500 0.2393  -0.06
O 0.7500 0.0434 0.9254  -0.21
O 0.0000 0.7500 0.2586  -0.07
O 0.7500 0.5434 0.0746  -0.21
O 0.5000 0.7500 0.7607  -0.06
O 0.2500 0.0175 0.4400  -0.01
O 0.0000 0.7500 0.7607  -0.06
O 0.2500 0.5175 0.5600  -0.01
O 0.2500 0.9566 0.0746  -0.21
O 0.7500 0.4825 0.4400  -0.01
O 0.5000 0.2500 0.7414  -0.07
O 0.0000 0.2500 0.7414  -0.07
O 0.0000 0.2500 0.2393  -0.06
Li 0.0000 0.2500 0.5090  0.00
Li 0.5000 0.7500 0.4910  0.00
Li 0.5000 0.2500 0.5090  0.00
Li 0.0000 0.7500 0.4910  0.00
Eu 0.2500 0.0172 0.8842  6.30
Eu 0.7500 0.9828 0.1158  6.30
Eu 0.2500 0.5172 0.1158  6.30
Eu 0.7500 0.4828 0.8842  6.30

## Properties
Total magnetization ... 6.0 μB/f.u.
Uncorrected formation energy ... -3.03 eV per atom
Space-group type ... Pbcm (57)

=====

# 2
Computed, not measured: a PBEsol-optimized structure of LiEuP at the SCAN level of DFT.

Unit cell a=4.2591 b=7.1235 c=7.6200 alpha=90.00 beta=90.00 gamma=90.00
Site moments in Bohr magnetons follow the coordinates.
Atoms (fractional coordinates):
Eu 0.7500 0.4902 0.7036  6.88
Eu 0.2500 0.0098 0.2036  6.88
Eu 0.2500 0.5098 0.2964  6.88
Eu 0.7500 0.9902 0.7964  6.88
Li 0.2500 0.1581 0.5724  0.00
Li 0.7500 0.8419 0.4276  0.00
Li 0.7500 0.3419 0.0724  0.00
Li 0.2500 0.6581 0.9276  0.00
P 0.2500 0.2744 0.9026  -0.11
P 0.7500 0.7256 0.0974  -0.11
P 0.2500 0.7744 0.5974  -0.11
P 0.7500 0.2256 0.4026  -0.11

## Properties
Total magnetization ... 7.0 μB/f.u.
Formation enthalpy at 0 K ... -110.42 kJ/mol of atoms
Space-group type ... Pnma (62)

=====

# 3
Computed, not measured: a PBEsol-optimized structure of LiEuS2 at the SCAN level of DFT.

Unit cell a=3.9444 b=3.9444 c=5.4030 alpha=90.00 beta=90.00 gamma=90.00
Site moments in Bohr magnetons follow the coordinates.
Atoms (fractional coordinates):
S 0.5000 0.5000 0.0000  -0.15
S 0.0000 0.0000 0.5000  -0.25
Eu 0.0000 0.0000 0.0000  6.49
Li 0.5000 0.5000 0.5000  0.00

## Properties
Total magnetization ... 6.0 μB/f.u.
Uncorrected formation energy ... -1.67 eV per atom
Space-group type ... P4/mmm (123)

=====

Number 1: mass density 5.51 Mg/m³. Number 2: mass density 5.46 Mg/m³. Number 3: mass density 4.41 Mg/m³.